This record from Alexandria via LeMat-Bulk describes a relaxed structure of Ca2CrOs. The functional is GGA-PBE.

## Properties
- formation energy (eV per atom) = 0.410
- total magnetic moment (μB/cell) = 2.14
- distance to the lowest polymorph of the same formula (kJ per mole of atoms) = 17.40

a b c (Å): 5.478 5.478 5.478
angles (deg): 137.48 123.51 73.19
Fractional positions:
Ca (0.000, 0.000, 0.000)
Ca (0.704, 0.204, 0.500)
Cr (0.286, 0.786, 0.500)
Os (0.421, 0.421, 0.000)

This record from Alexandria via LeMat-Bulk describes a relaxed structure of Ca2CrOs. The functional is GGA-PBE.

## Properties
- formation energy (eV per atom) = 1.001
- total magnetic moment (μB/cell) = 0.50
- distance to the lowest polymorph of the same formula (kJ per mole of atoms) = 74.42

a b c (Å): 2.832 2.832 9.626
angles (deg): 90.00 90.00 90.11
Fractional positions:
Ca (0.000, 0.000, 0.243)
Ca (0.000, 0.000, 0.757)
Cr (0.500, 0.500, 0.500)
Os (0.500, 0.500, 0.000)